DFT (GGA-PBE) results for Mg2Ag5Sn2 after structural relaxation.

total energy	-2.882	eV per atom
total magnetic moment	0.00	Bohr magnetons per cell
crystal system	orthorhombic

Cell: 4.592 9.342 10.063 Å, 117.66 103.19 90.00°
Fractional positions:
Mg (0.400, 0.962, 0.798)
Sn (0.000, 0.935, 0.000)
Mg (0.600, 0.164, 0.202)
Ag (0.752, 0.191, 0.500)
Sn (0.748, 0.887, 0.500)
Ag (0.416, 0.663, 0.835)
Sn (0.252, 0.387, 0.500)
Ag (0.835, 0.690, 0.674)
Mg (0.102, 0.664, 0.202)
Ag (0.919, 0.163, 0.835)
Ag (0.165, 0.015, 0.326)
Ag (0.248, 0.691, 0.500)
Ag (0.661, 0.515, 0.326)
Mg (0.898, 0.462, 0.798)
Ag (0.081, 0.328, 0.165)
Sn (0.500, 0.435, 0.000)
Ag (0.584, 0.828, 0.165)
Ag (0.339, 0.190, 0.674)